Model i:
A plane-wave DFT calculation with PBE was carried out for an optimized crystal structure of AlSeI2.

mass density	4.264	g/cm3

Structure (extended XYZ):
```
16
Lattice="10.696 0.000 0.000 0.000 10.696 0.000 0.000 0.000 4.899" Properties=species:S:1:pos:R:3 pbc="T T T"
Al 0.000 0.000 0.000
Al 0.000 5.348 1.225
Al 5.348 0.000 3.674
Al 5.348 5.348 2.449
Se 0.000 0.000 2.449
Se 0.000 5.348 3.674
Se 5.348 0.000 1.225
Se 5.348 5.348 0.000
I 0.903 2.674 0.612
I 2.674 6.251 1.837
I 2.674 9.792 4.286
I 4.445 2.674 3.062
I 6.251 8.022 3.062
I 8.022 0.903 4.286
I 8.022 4.445 1.837
I 9.792 8.022 0.612
```

***

Model ii:
A plane-wave DFT calculation with PBE was carried out for an optimized crystal structure of AlSeI2.

mass density	5.380	g/cm3

Structure (extended XYZ):
```
16
Lattice="7.630 0.000 0.000 0.000 7.630 0.000 0.000 0.000 7.630" Properties=species:S:1:pos:R:3 pbc="T T T"
Al 0.000 0.000 0.000
Al 0.000 3.815 3.815
Al 3.815 0.000 3.815
Al 3.815 3.815 0.000
Se 0.000 0.000 3.815
Se 0.000 3.815 0.000
Se 3.815 0.000 0.000
Se 3.815 3.815 3.815
I 1.907 1.907 1.907
I 1.907 1.907 5.722
I 1.907 5.722 1.907
I 1.907 5.722 5.722
I 5.722 1.907 1.907
I 5.722 1.907 5.722
I 5.722 5.722 1.907
I 5.722 5.722 5.722
```

***

Stability verdict: model i, ahead by 53.9 kJ/mol of atoms

***

Model i:
A plane-wave DFT calculation with PBE was carried out for an optimized crystal structure of AlSe3I.

mass density	4.038	g/cm3

Structure (extended XYZ):
```
5
Lattice="5.437 0.000 0.000 0.000 5.437 0.000 0.000 0.000 5.437" Properties=species:S:1:pos:R:3 pbc="T T T"
Al 0.000 0.000 0.000
Se 0.000 2.718 2.718
Se 2.718 0.000 2.718
Se 2.718 2.718 0.000
I 2.718 2.718 2.718
```

***

Model ii:
A plane-wave DFT calculation with PBE was carried out for an optimized crystal structure of AlSe3I.

mass density	5.268	g/cm3

Structure (extended XYZ):
```
5
Lattice="4.975 0.000 0.000 0.000 4.975 0.000 0.000 0.000 4.975" Properties=species:S:1:pos:R:3 pbc="T T T"
Al 0.000 0.000 0.000
Se 0.000 0.000 2.488
Se 0.000 2.488 0.000
Se 2.488 0.000 0.000
I 2.488 2.488 2.488
```

***

Stability verdict: model ii, ahead by 57.2 kJ/mol of atoms

***

Model i:
A plane-wave DFT calculation with PBE was carried out for an optimized crystal structure of AlSi2I.

mass density	4.189	g/cm3

Structure (extended XYZ):
```
16
Lattice="6.932 0.000 0.000 0.000 6.932 0.000 0.000 0.000 6.932" Properties=species:S:1:pos:R:3 pbc="T T T"
Al 0.000 0.000 0.000
Al 0.000 3.466 3.466
Al 3.466 0.000 3.466
Al 3.466 3.466 0.000
Si 1.733 1.733 1.733
Si 1.733 1.733 5.199
Si 1.733 5.199 1.733
Si 1.733 5.199 5.199
Si 5.199 1.733 1.733
Si 5.199 1.733 5.199
Si 5.199 5.199 1.733
Si 5.199 5.199 5.199
I 0.000 0.000 3.466
I 0.000 3.466 0.000
I 3.466 0.000 0.000
I 3.466 3.466 3.466
```

***

Model ii:
A plane-wave DFT calculation with PBE was carried out for an optimized crystal structure of AlSi2I.

mass density	2.964	g/cm3

Structure (extended XYZ):
```
16
Lattice="6.144 0.000 0.000 0.000 6.144 0.000 0.000 0.000 12.467" Properties=species:S:1:pos:R:3 pbc="T T T"
Al 0.000 0.000 0.000
Al 0.000 3.072 3.117
Al 3.072 0.000 9.350
Al 3.072 3.072 6.233
Si 1.100 1.536 1.558
Si 1.536 4.172 4.675
Si 1.536 5.045 10.908
Si 1.972 1.536 7.792
Si 4.172 4.608 7.792
Si 4.608 1.100 10.908
Si 4.608 1.972 4.675
Si 5.045 4.608 1.558
I 0.000 0.000 6.233
I 0.000 3.072 9.350
I 3.072 0.000 3.117
I 3.072 3.072 0.000
```

***

Stability verdict: model ii, ahead by 15.3 kJ/mol of atoms

***

Model i:
A plane-wave DFT calculation with PBE was carried out for an optimized crystal structure of AlSiI3.

mass density	3.918	g/cm3

Structure (extended XYZ):
```
5
Lattice="5.695 0.000 0.000 0.000 5.695 0.000 0.000 0.000 5.695" Properties=species:S:1:pos:R:3 pbc="T T T"
Al 0.000 0.000 0.000
Si 2.847 2.847 2.847
I 0.000 2.847 2.847
I 2.847 0.000 2.847
I 2.847 2.847 0.000
```

***

Model ii:
A plane-wave DFT calculation with PBE was carried out for an optimized crystal structure of AlSiI3.

mass density	4.137	g/cm3

Structure (extended XYZ):
```
5
Lattice="5.592 0.000 0.000 0.000 5.592 0.000 0.000 0.000 5.592" Properties=species:S:1:pos:R:3 pbc="T T T"
Al 0.000 0.000 0.000
Si 2.796 2.796 2.796
I 0.000 0.000 2.796
I 0.000 2.796 0.000
I 2.796 0.000 0.000
```

***

Stability verdict: model i, ahead by 27.0 kJ/mol of atoms

***

Model i:
A plane-wave DFT calculation with PBE was carried out for an optimized crystal structure of AlSiTeI2.

mass density	4.228	g/cm3

Structure (extended XYZ):
```
5
Lattice="5.630 0.000 0.000 0.000 5.630 0.000 0.000 0.000 5.408" Properties=species:S:1:pos:R:3 pbc="T T T"
Al 0.000 0.000 0.000
Si 2.815 2.815 2.704
Te 2.815 2.815 0.000
I 0.000 2.815 2.704
I 2.815 0.000 2.704
```

***

Model ii:
A plane-wave DFT calculation with PBE was carried out for an optimized crystal structure of AlSiTeI2.

mass density	4.444	g/cm3

Structure (extended XYZ):
```
5
Lattice="5.397 0.000 0.000 0.000 5.397 0.000 0.000 0.000 5.599" Properties=species:S:1:pos:R:3 pbc="T T T"
Al 0.000 0.000 0.000
Si 2.699 2.699 2.800
Te 0.000 0.000 2.800
I 0.000 2.699 0.000
I 2.699 0.000 0.000
```

***

Stability verdict: model i, ahead by 16.2 kJ/mol of atoms

***

Model i:
A plane-wave DFT calculation with PBE was carried out for an optimized crystal structure of Al2SnI2.

mass density	4.777	g/cm3

Structure (extended XYZ):
```
10
Lattice="5.302 0.000 0.000 0.000 5.302 0.000 0.000 0.000 10.549" Properties=species:S:1:pos:R:3 pbc="T T T"
Al 0.000 0.000 1.291
Al 0.000 0.000 9.258
Al 2.651 2.651 3.983
Al 2.651 2.651 6.566
Sn 0.000 0.000 5.275
Sn 2.651 2.651 0.000
I 0.000 2.651 2.637
I 0.000 2.651 7.912
I 2.651 0.000 2.637
I 2.651 0.000 7.912
```

***

Model ii:
A plane-wave DFT calculation with PBE was carried out for an optimized crystal structure of Al2SnI2.

mass density	4.643	g/cm3

Structure (extended XYZ):
```
10
Lattice="7.428 0.000 0.000 0.000 7.428 0.000 0.000 0.000 5.529" Properties=species:S:1:pos:R:3 pbc="T T T"
Al 0.944 2.770 0.000
Al 2.770 6.484 0.000
Al 4.657 0.944 0.000
Al 6.484 4.657 0.000
Sn 0.000 0.000 0.000
Sn 3.714 3.714 0.000
I 1.442 2.272 2.764
I 2.272 5.986 2.764
I 5.156 1.442 2.764
I 5.986 5.156 2.764
```

***

Stability verdict: model ii, ahead by 35.7 kJ/mol of atoms